Entry 1:
Crystalline Pr3Sn4Pt3 at its relaxed geometry, computed with PBE-GGA.

## Properties
The calculation puts the theoretical density at 9.756 Mg/m³. The value obtained for the formation enthalpy at 0 K is -86 kJ per mole of atoms. For the uncorrected energy, the calculation gives -229.37 eV per cell. The calculation puts the size of the total moment at 0.00 μB/cell.

Geometry as CIF:
```
data_Pr3Sn4Pt3
_space_group_name_H-M_alt 'I -4 3 d'
_space_group_IT_number 220
_space_group_name_Hall 'I -4bd 2c 3'
_cell_length_a 10.032
_cell_length_b 10.032
_cell_length_c 10.032
_cell_angle_alpha 90.00
_cell_angle_beta 90.00
_cell_angle_gamma 90.00
loop_
_atom_site_label
_atom_site_fract_x
_atom_site_fract_y
_atom_site_fract_z
_atom_site_occupancy
Pr1 0.000 0.250 0.875 1
Sn1 0.080 0.420 0.580 1
Pt1 0.000 0.250 0.375 1
```


Entry 2:
Crystalline Pr2Sn3Pt at its relaxed geometry, computed with PBE-GGA.

## Properties
The calculation puts the theoretical density at 8.478 Mg/m³. The value obtained for the formation enthalpy at 0 K is -70 kJ per mole of atoms. For the uncorrected energy, the calculation gives -31.94 eV per cell. The calculation puts the energy relative to the lowest polymorph listed for this composition at 0.37 eV per formula unit. The calculation puts the size of the total moment at 0.00 μB/cell.

Geometry as CIF:
```
data_Pr2Sn3Pt
_space_group_name_H-M_alt 'P m m 2'
_space_group_IT_number 25
_space_group_name_Hall 'P 2 -2'
_cell_length_a 4.244
_cell_length_b 4.814
_cell_length_c 7.987
_cell_angle_alpha 90.00
_cell_angle_beta 90.00
_cell_angle_gamma 90.00
loop_
_atom_site_label
_atom_site_fract_x
_atom_site_fract_y
_atom_site_fract_z
_atom_site_occupancy
Pr1 0.000 0.000 0.000 1
Pr2 0.000 0.500 0.484 1
Sn1 0.500 0.000 0.633 1
Sn2 0.500 0.500 0.171 1
Sn3 0.500 0.500 0.818 1
Pt1 0.500 0.000 0.303 1
```


Entry 3:
Crystalline PrSn4Pt4 at its relaxed geometry, computed with PBE-GGA.

## Properties
The calculation puts the theoretical density at 11.464 Mg/m³. The value obtained for the formation enthalpy at 0 K is -58 kJ per mole of atoms. For the uncorrected energy, the calculation gives -100.70 eV per cell. The calculation puts the size of the total moment at 0.00 μB/cell.

Geometry as CIF:
```
data_PrSn4Pt4
_space_group_name_H-M_alt 'P 42/n m c'
_space_group_IT_number 137
_cell_length_a 6.810
_cell_length_b 6.810
_cell_length_c 8.721
_cell_angle_alpha 90.00
_cell_angle_beta 90.00
_cell_angle_gamma 90.00
loop_
_space_group_symop_operation_xyz
'x,y,z'
'-x,-y,-z'
'-y+1/2,x,z+1/2'
'y+1/2,-x,-z+1/2'
'-x+1/2,-y+1/2,z'
'x+1/2,y+1/2,-z'
'y,-x+1/2,z+1/2'
'-y,x+1/2,-z+1/2'
'x+1/2,-y,-z'
'-x+1/2,y,z'
'-y,-x,-z+1/2'
'y,x,z+1/2'
'-x,y+1/2,-z'
'x,-y+1/2,z'
'y+1/2,x+1/2,-z+1/2'
'-y+1/2,-x+1/2,z+1/2'
loop_
_atom_site_label
_atom_site_fract_x
_atom_site_fract_y
_atom_site_fract_z
_atom_site_occupancy
Pr1 0.250 0.750 0.250 1
Sn1 0.009 0.250 0.118 1
Pt1 0.044 0.250 0.425 1
```


Entry 4:
Crystalline Pr2Sn2Pt at its relaxed geometry, computed with PBE-GGA.

## Properties
The calculation puts the theoretical density at 8.878 Mg/m³. The value obtained for the formation enthalpy at 0 K is -89 kJ per mole of atoms. For the uncorrected energy, the calculation gives -112.80 eV per cell. The calculation puts the size of the total moment at 0.00 μB/cell.

Geometry as CIF:
```
data_Pr2Sn2Pt
_space_group_name_H-M_alt 'C 1 2/m 1'
_space_group_IT_number 12
_space_group_name_Hall '-C 2y'
_cell_length_a 11.353
_cell_length_b 4.652
_cell_length_c 11.392
_cell_angle_alpha 90.00
_cell_angle_beta 117.35
_cell_angle_gamma 90.00
loop_
_atom_site_label
_atom_site_fract_x
_atom_site_fract_y
_atom_site_fract_z
_atom_site_occupancy
Pr1 0.001 0.000 0.329 1
Pr2 0.187 0.000 0.122 1
Sn1 0.028 0.500 0.884 1
Sn2 0.155 0.500 0.550 1
Pt1 0.221 0.500 0.331 1
```


Entry 5:
Crystalline Pr6SnPt at its relaxed geometry, computed with PBE-GGA.

## Properties
The calculation puts the theoretical density at 6.422 Mg/m³. The value obtained for the formation enthalpy at 0 K is -23 kJ per mole of atoms. For the uncorrected energy, the calculation gives -40.60 eV per cell. The calculation puts the size of the total moment at 0.00 μB/cell.

Geometry as CIF:
```
data_Pr6SnPt
_space_group_name_H-M_alt 'P -1'
_space_group_IT_number 2
_space_group_name_Hall '-P 1'
_cell_length_a 7.092
_cell_length_b 7.122
_cell_length_c 7.954
_cell_angle_alpha 90.41
_cell_angle_beta 116.11
_cell_angle_gamma 119.77
loop_
_atom_site_label
_atom_site_fract_x
_atom_site_fract_y
_atom_site_fract_z
_atom_site_occupancy
Pr1 0.031 0.074 0.253 1
Pr2 0.297 0.722 0.253 1
Pr3 0.318 0.541 0.747 1
Sn1 0.500 0.000 0.000 1
Pt1 0.500 0.500 0.500 1
```


Entry 6:
Crystalline PrSnPt4 at its relaxed geometry, computed with PBE-GGA.

## Properties
The calculation puts the theoretical density at 13.269 Mg/m³. The value obtained for the formation enthalpy at 0 K is -57 kJ per mole of atoms. For the uncorrected energy, the calculation gives -145.90 eV per cell. The calculation puts the energy relative to the lowest polymorph listed for this composition at 0.92 eV per formula unit. The calculation puts the size of the total moment at 0.00 μB/cell.

Geometry as CIF:
```
data_PrSnPt4
_space_group_name_H-M_alt 'C m c m'
_space_group_IT_number 63
_space_group_name_Hall '-C 2c 2'
_cell_length_a 4.384
_cell_length_b 21.067
_cell_length_c 5.636
_cell_angle_alpha 90.00
_cell_angle_beta 90.00
_cell_angle_gamma 90.00
loop_
_atom_site_label
_atom_site_fract_x
_atom_site_fract_y
_atom_site_fract_z
_atom_site_occupancy
Pr1 0.000 0.107 0.250 1
Sn1 0.000 0.397 0.250 1
Pt1 0.000 0.174 0.750 1
Pt2 0.000 0.289 0.507 1
Pt3 0.000 0.500 0.000 1
```


Entry 7:
Crystalline Pr2Sn6Pt at its relaxed geometry, computed with PBE-GGA.

## Properties
The calculation puts the theoretical density at 7.667 Mg/m³. The value obtained for the formation enthalpy at 0 K is -43 kJ per mole of atoms. For the uncorrected energy, the calculation gives -87.17 eV per cell. The calculation puts the size of the total moment at 0.00 μB/cell.

Geometry as CIF:
```
data_Pr2Sn6Pt
_space_group_name_H-M_alt 'C m m m'
_space_group_IT_number 65
_space_group_name_Hall '-C 2 2'
_cell_length_a 7.807
_cell_length_b 15.513
_cell_length_c 4.253
_cell_angle_alpha 90.00
_cell_angle_beta 90.00
_cell_angle_gamma 90.00
loop_
_atom_site_label
_atom_site_fract_x
_atom_site_fract_y
_atom_site_fract_z
_atom_site_occupancy
Pr1 0.000 0.186 0.000 1
Sn1 0.188 0.346 0.500 1
Sn2 0.235 0.500 0.000 1
Pt1 0.000 0.500 0.500 1
```


Entry 8:
Crystalline Pr2Sn3Pt2 at its relaxed geometry, computed with PBE-GGA.

## Properties
The calculation puts the theoretical density at 9.957 Mg/m³. The value obtained for the formation enthalpy at 0 K is -79 kJ per mole of atoms. For the uncorrected energy, the calculation gives -157.38 eV per cell. The calculation puts the size of the total moment at 0.00 μB/cell.

Geometry as CIF:
```
data_Pr2Sn3Pt2
_space_group_name_H-M_alt 'C m c m'
_space_group_IT_number 63
_space_group_name_Hall '-C 2c 2'
_cell_length_a 4.573
_cell_length_b 20.043
_cell_length_c 7.483
_cell_angle_alpha 90.00
_cell_angle_beta 90.00
_cell_angle_gamma 90.00
loop_
_atom_site_label
_atom_site_fract_x
_atom_site_fract_y
_atom_site_fract_z
_atom_site_occupancy
Pr1 0.000 0.044 0.250 1
Pr2 0.000 0.162 0.750 1
Sn1 0.000 0.216 0.250 1
Sn2 0.000 0.431 0.055 1
Pt1 0.000 0.299 0.545 1
```